## VCrOsO6 (GGA+U)

Data for crystalline VCrOsO6 at its relaxed geometry.

The structure belongs to space group P-31c (No. 163); the cell edges are 4.9704, 4.9704 and 8.9280 Å and the angles 90.00°, 90.00° and 120.00°. The distinct sites, in fractional coordinates, are V at (0.3333, 0.6667, 0.2500), Cr at (0.0000, 0.0000, 0.0000), Os at (0.3333, 0.6667, 0.7500) and O at (0.0076, 0.3392, 0.6280).

For the total magnetic moment, the calculation gives 6.00 μB/cell. The calculation puts the energy at -69.378 eV/f.u.